{"formula": "Ca3BiAu14", "functional": "meta-GGA SCAN", "state": "PBEsol geometry", "vol_a3_per_cell": 352.2, "rho_g_cm3": 14.55, "ef_ev_per_fu": -8.7, "space_group": "P3m1, No. 156", "lattice": [[5.4696, 0.0000, 0.0000], [-2.7348, 4.7368, 0.0000], [0.0000, 0.0000, 13.5955]], "species": ["Ca", "Ca", "Ca", "Bi", "Au", "Au", "Au", "Au", "Au", "Au", "Au", "Au", "Au", "Au", "Au", "Au", "Au", "Au"], "frac_coords": [[0.0000, 0.0000, 0.0000], [0.3333, 0.6667, 0.6468], [0.6667, 0.3333, 0.3245], [0.0000, 0.0000, 0.7463], [0.0000, 0.0000, 0.3654], [0.1674, 0.3347, 0.2013], [0.1674, 0.8326, 0.2013], [0.3333, 0.6667, 0.0365], [0.3333, 0.6667, 0.4013], [0.3342, 0.1671, 0.5284], [0.5005, 0.0010, 0.8711], [0.5005, 0.4995, 0.8711], [0.6653, 0.8326, 0.2013], [0.6667, 0.3333, 0.0793], [0.6667, 0.3333, 0.6983], [0.8329, 0.1671, 0.5284], [0.8329, 0.6658, 0.5284], [0.9990, 0.4995, 0.8711]]}